1.
## GaCo2B (PBE-GGA)

Data for GaCo2B after structural relaxation. Values from VASP.

- SG: R3m (160)
- Fermi-level density of states: 0.868 states/eV/atom
- ΔH_f (0 K): -0.17 eV per atom
- Magnetic moment: 0.00 μB per formula unit

```
&SYSTEM
  ibrav = 0, nat = 12, ntyp = 3
/
ATOMIC_SPECIES
Ga 69.72 Ga.upf
Co 58.93 Co.upf
B 10.81 B.upf
CELL_PARAMETERS angstrom
2.902 0.000 0.000
-1.451 2.513 0.000
0.000 0.000 17.662
ATOMIC_POSITIONS crystal
Ga 0.000 0.000 0.000
Ga 0.333 0.667 0.667
Ga 0.667 0.333 0.333
Co 0.000 0.000 0.559
Co 0.000 0.000 0.774
Co 0.333 0.667 0.225
Co 0.333 0.667 0.440
Co 0.667 0.333 0.107
Co 0.667 0.333 0.892
B 0.000 0.000 0.166
B 0.333 0.667 0.833
B 0.667 0.333 0.500
```

---

2.
## FeSCl2 (PBE-GGA)

Data for FeSCl2 after structural relaxation. Values from VASP.

- E_form (uncorrected): 0.69 eV per atom
- SG: Fm-3m (225)
- Fermi-level density of states: 1.649 states/eV/atom
- Magnetic moment: 2.60 μB per formula unit

```
&SYSTEM
  ibrav = 0, nat = 16, ntyp = 3
/
ATOMIC_SPECIES
Fe 55.84 Fe.upf
S 32.06 S.upf
Cl 35.45 Cl.upf
CELL_PARAMETERS angstrom
6.597 0.000 0.000
0.000 6.597 0.000
0.000 0.000 6.597
ATOMIC_POSITIONS crystal
Fe 0.000 0.000 0.000
Fe 0.000 0.500 0.500
Fe 0.500 0.000 0.500
Fe 0.500 0.500 0.000
S 0.000 0.000 0.500
S 0.000 0.500 0.000
S 0.500 0.000 0.000
S 0.500 0.500 0.500
Cl 0.250 0.250 0.250
Cl 0.250 0.250 0.750
Cl 0.250 0.750 0.250
Cl 0.250 0.750 0.750
Cl 0.750 0.250 0.250
Cl 0.750 0.250 0.750
Cl 0.750 0.750 0.250
Cl 0.750 0.750 0.750
```

---

3.
## Tl2MoAs (PBE-GGA)

Data for Tl2MoAs after structural relaxation. Values from VASP.

- SG: Imm2 (44)
- Fermi-level density of states: 0.501 states/eV/atom
- ΔH_f (0 K): 0.36 eV per atom
- Magnetic moment: 0.00 μB per formula unit

```
&SYSTEM
  ibrav = 0, nat = 8, ntyp = 3
/
ATOMIC_SPECIES
Tl 204.38 Tl.upf
Mo 95.94 Mo.upf
As 74.92 As.upf
CELL_PARAMETERS angstrom
3.138 0.000 0.000
0.000 4.936 0.000
0.000 0.000 12.566
ATOMIC_POSITIONS crystal
Tl 0.000 0.000 0.000
Tl 0.000 0.500 0.195
Tl 0.500 0.000 0.695
Tl 0.500 0.500 0.500
Mo 0.000 0.000 0.473
Mo 0.500 0.500 0.973
As 0.000 0.500 0.820
As 0.500 0.000 0.320
```

---

4.
## TaNbPd3 (PBE-GGA)

Data for TaNbPd3 after structural relaxation. Values from VASP.

- SG: C2/m (12)
- Fermi-level density of states: 0.767 states/eV/atom
- ΔH_f (0 K): -0.19 eV per atom
- Magnetic moment: 0.00 μB per formula unit

```
&SYSTEM
  ibrav = 0, nat = 10, ntyp = 3
/
ATOMIC_SPECIES
Ta 180.95 Ta.upf
Nb 92.91 Nb.upf
Pd 106.42 Pd.upf
CELL_PARAMETERS angstrom
2.663 -4.571 0.000
2.663 4.571 0.000
-1.552 0.000 6.944
ATOMIC_POSITIONS crystal
Ta 0.063 0.063 0.193
Ta 0.937 0.937 0.807
Nb 0.344 0.656 0.000
Nb 0.656 0.344 0.000
Pd 0.100 0.582 0.326
Pd 0.368 0.368 0.645
Pd 0.418 0.900 0.674
Pd 0.582 0.100 0.326
Pd 0.632 0.632 0.355
Pd 0.900 0.418 0.674
```

---

5.
## LaPr5Sm2Y (PBE-GGA)

Data for LaPr5Sm2Y after structural relaxation. Values from VASP.

- SG: I4/mcm (140)
- Fermi-level density of states: 1.701 states/eV/atom
- ΔH_f (0 K): 0.27 eV per atom
- Magnetic moment: 0.00 μB per formula unit

```
&SYSTEM
  ibrav = 0, nat = 18, ntyp = 4
/
ATOMIC_SPECIES
La 138.91 La.upf
Pr 140.91 Pr.upf
Sm 150.36 Sm.upf
Y 88.91 Y.upf
CELL_PARAMETERS angstrom
-4.567 4.567 7.756
4.567 -4.567 7.756
4.567 4.567 -7.756
ATOMIC_POSITIONS crystal
La 0.250 0.250 0.000
La 0.750 0.750 0.000
Pr 0.000 0.000 0.000
Pr 0.071 0.571 0.915
Pr 0.156 0.071 0.500
Pr 0.344 0.844 0.915
Pr 0.429 0.344 0.500
Pr 0.500 0.500 0.000
Pr 0.571 0.656 0.500
Pr 0.656 0.156 0.085
Pr 0.844 0.929 0.500
Pr 0.929 0.429 0.085
Sm 0.114 0.386 0.500
Sm 0.386 0.886 0.272
Sm 0.614 0.114 0.728
Sm 0.886 0.614 0.500
Y 0.250 0.750 0.500
Y 0.750 0.250 0.500
```

---

6.
## CrAgTe2 (PBE-GGA)

Data for CrAgTe2 after structural relaxation. Values from VASP.

- E_form (uncorrected): -0.05 eV per atom
- SG: R3m (160)
- Fermi-level density of states: 0.318 states/eV/atom
- Magnetic moment: 3.03 μB per formula unit

```
&SYSTEM
  ibrav = 0, nat = 12, ntyp = 3
/
ATOMIC_SPECIES
Cr 52.00 Cr.upf
Ag 107.87 Ag.upf
Te 127.60 Te.upf
CELL_PARAMETERS angstrom
4.029 0.000 0.000
-2.014 3.489 0.000
0.000 0.000 21.116
ATOMIC_POSITIONS crystal
Cr 0.000 0.000 0.000
Cr 0.333 0.667 0.667
Cr 0.667 0.333 0.333
Ag 0.000 0.000 0.162
Ag 0.333 0.667 0.828
Ag 0.667 0.333 0.495
Te 0.000 0.000 0.403
Te 0.000 0.000 0.594
Te 0.333 0.667 0.070
Te 0.333 0.667 0.261
Te 0.667 0.333 0.737
Te 0.667 0.333 0.927
```

---

7.
## LaHo2In3 (PBE-GGA)

Data for LaHo2In3 after structural relaxation. Values from VASP.

- SG: P4/mmm (123)
- Fermi-level density of states: 0.559 states/eV/atom
- ΔH_f (0 K): -0.48 eV per atom
- Magnetic moment: 0.00 μB per formula unit

```
&SYSTEM
  ibrav = 0, nat = 6, ntyp = 3
/
ATOMIC_SPECIES
La 138.91 La.upf
Ho 164.93 Ho.upf
In 114.82 In.upf
CELL_PARAMETERS angstrom
3.778 0.000 0.000
0.000 3.778 0.000
0.000 0.000 11.656
ATOMIC_POSITIONS crystal
La 0.000 0.000 0.000
Ho 0.000 0.000 0.341
Ho 0.000 0.000 0.659
In 0.500 0.500 0.184
In 0.500 0.500 0.500
In 0.500 0.500 0.816
```

---

8.
## Ca3VN4 (PBE-GGA)

Data for Ca3VN4 after structural relaxation. Values from VASP.

- E_form (uncorrected): -0.93 eV per atom
- SG: Pnma (62)
- Fermi-level density of states: 0.203 states/eV/atom
- Magnetic moment: 1.04 μB per formula unit

```
&SYSTEM
  ibrav = 0, nat = 32, ntyp = 3
/
ATOMIC_SPECIES
Ca 40.08 Ca.upf
V 50.94 V.upf
N 14.01 N.upf
CELL_PARAMETERS angstrom
7.001 0.000 0.000
0.000 7.481 0.000
0.000 0.000 9.433
ATOMIC_POSITIONS crystal
Ca 0.004 0.026 0.188
Ca 0.004 0.474 0.188
Ca 0.137 0.750 0.523
Ca 0.363 0.250 0.023
Ca 0.496 0.526 0.688
Ca 0.496 0.974 0.688
Ca 0.504 0.026 0.312
Ca 0.504 0.474 0.312
Ca 0.637 0.750 0.977
Ca 0.863 0.250 0.477
Ca 0.996 0.526 0.812
Ca 0.996 0.974 0.812
V 0.232 0.750 0.016
V 0.268 0.250 0.516
V 0.732 0.750 0.484
V 0.768 0.250 0.984
N 0.027 0.250 0.971
N 0.172 0.058 0.606
N 0.172 0.442 0.606
N 0.198 0.250 0.327
N 0.302 0.750 0.827
N 0.328 0.558 0.106
N 0.328 0.942 0.106
N 0.473 0.750 0.471
N 0.527 0.250 0.529
N 0.672 0.058 0.894
N 0.672 0.442 0.894
N 0.698 0.250 0.173
N 0.802 0.750 0.673
N 0.828 0.558 0.394
N 0.828 0.942 0.394
N 0.973 0.750 0.029
```

---

9.
## SmPu2Ir (PBE-GGA)

Data for SmPu2Ir after structural relaxation. Values from VASP.

- SG: P4/mmm (123)
- Fermi-level density of states: 3.353 states/eV/atom
- ΔH_f (0 K): -0.15 eV per atom
- Magnetic moment: 11.23 μB per formula unit

```
&SYSTEM
  ibrav = 0, nat = 4, ntyp = 3
/
ATOMIC_SPECIES
Sm 150.36 Sm.upf
Pu 244.00 Pu.upf
Ir 192.22 Ir.upf
CELL_PARAMETERS angstrom
3.592 0.000 0.000
0.000 3.592 0.000
0.000 0.000 7.784
ATOMIC_POSITIONS crystal
Sm 0.000 0.000 0.000
Pu 0.500 0.500 0.306
Pu 0.500 0.500 0.694
Ir 0.000 0.000 0.500
```

---

10.
## LiZr2Pb (PBE-GGA)

Data for LiZr2Pb after structural relaxation. Values from VASP.

- SG: Imm2 (44)
- Fermi-level density of states: 0.777 states/eV/atom
- ΔH_f (0 K): -0.02 eV per atom
- Magnetic moment: 0.00 μB per formula unit

```
&SYSTEM
  ibrav = 0, nat = 8, ntyp = 3
/
ATOMIC_SPECIES
Li 6.94 Li.upf
Zr 91.22 Zr.upf
Pb 207.20 Pb.upf
CELL_PARAMETERS angstrom
3.307 0.000 0.000
0.000 5.180 0.000
0.000 0.000 10.120
ATOMIC_POSITIONS crystal
Li 0.000 0.000 0.000
Li 0.500 0.500 0.500
Zr 0.000 0.000 0.491
Zr 0.000 0.500 0.246
Zr 0.500 0.000 0.746
Zr 0.500 0.500 0.991
Pb 0.000 0.500 0.717
Pb 0.500 0.000 0.217
```

---

11.
## ScAlW2 (PBE-GGA)

Data for ScAlW2 after structural relaxation. Values from VASP.

- SG: Pm (6)
- Fermi-level density of states: 0.708 states/eV/atom
- ΔH_f (0 K): 0.04 eV per atom
- Magnetic moment: 0.00 μB per formula unit

```
&SYSTEM
  ibrav = 0, nat = 4, ntyp = 3
/
ATOMIC_SPECIES
Sc 44.96 Sc.upf
Al 26.98 Al.upf
W 183.84 W.upf
CELL_PARAMETERS angstrom
2.831 0.000 0.000
0.000 4.468 0.000
-1.192 0.000 5.440
ATOMIC_POSITIONS crystal
Sc 0.000 0.000 0.000
Al 0.302 0.500 0.735
W 0.513 0.000 0.486
W 0.688 0.500 0.264
```

---

12.
## Cs3CeEr2S6 (PBE-GGA)

Data for Cs3CeEr2S6 after structural relaxation. Values from VASP.

- E_form (uncorrected): -1.80 eV per atom
- SG: C2/m (12)
- Fermi-level density of states: 0.338 states/eV/atom
- Magnetic moment: 0.99 μB per formula unit

```
&SYSTEM
  ibrav = 0, nat = 12, ntyp = 4
/
ATOMIC_SPECIES
Cs 132.91 Cs.upf
Ce 140.12 Ce.upf
Er 167.26 Er.upf
S 32.06 S.upf
CELL_PARAMETERS angstrom
3.587 -6.212 0.000
3.587 6.212 0.000
-2.393 0.000 8.052
ATOMIC_POSITIONS crystal
Cs 0.000 0.000 0.000
Cs 0.334 0.666 0.000
Cs 0.666 0.334 0.000
Ce 0.500 0.500 0.500
Er 0.167 0.833 0.500
Er 0.833 0.167 0.500
S 0.096 0.439 0.318
S 0.217 0.217 0.681
S 0.439 0.096 0.318
S 0.561 0.904 0.682
S 0.783 0.783 0.319
S 0.904 0.561 0.682
```

---

Values of V, in order: 10.74, 17.94, 24.33, 16.90, 35.95, 24.74, 27.73, 15.44, 25.11, 21.67, 17.20, 29.90, all in Å³ per atom.